! Dy4ThTl2 | Alexandria | GGA-PBE | optimized geometry; values from VASP
&SYSTEM
  ibrav = 0, nat = 7, ntyp = 3
/
ATOMIC_SPECIES
Dy 162.50 Dy.upf
Th 232.04 Th.upf
Tl 204.38 Tl.upf
CELL_PARAMETERS angstrom
-2.589 3.965 0.943
-5.519 -3.017 -2.464
-0.487 -1.859 6.476
ATOMIC_POSITIONS angstrom
Dy -1.538 1.053 3.710
Dy -1.245 -1.011 0.832
Dy -4.054 0.474 -0.760
Dy -4.760 -3.865 3.180
Th -4.297 -0.456 2.478
Tl -4.154 -2.703 -0.040
Tl -1.851 -2.173 4.052
! Relative energy among the computed polymorphs = 0 meV per atom
! DOS at the Fermi energy = 1.382 states/eV per atom
! Calculated volume = 31.0 A^3/atom